NaTlMoF6 | GGA+U | relaxed

The calculation puts the theoretical density at 4.166 Mg/m³. The space group is P-31c (163). For the total energy, the calculation gives -4.942 eV/atom.

Cell and atoms, written as extended XYZ:
```
18
Lattice="5.897 0.000 0.000 -2.948 5.107 0.000 0.000 0.000 11.578" Properties=species:S:1:pos:R:3 pbc="T T T"
Na 0.000 3.404 2.895
Na 2.948 1.702 8.684
Tl 0.000 0.000 0.000
Tl 0.000 0.000 5.789
Mo 0.000 3.404 8.684
Mo 2.948 1.702 2.895
F -0.896 2.018 7.542
F -1.649 3.322 9.825
F 0.896 2.018 9.825
F -0.753 4.874 7.542
F 2.195 0.233 1.753
F 1.299 1.785 4.036
F 1.649 3.322 7.542
F 0.753 4.874 9.825
F 3.701 0.233 4.036
F 2.052 3.089 1.753
F 4.598 1.785 1.753
F 3.845 3.089 4.036
```



NaTmMoF6 | GGA+U | relaxed

The calculation puts the theoretical density at 4.796 Mg/m³. The space group is P-31c (163). For the total energy, the calculation gives -5.594 eV/atom.

Cell and atoms, written as extended XYZ:
```
18
Lattice="5.705 0.000 0.000 -2.852 4.940 0.000 0.000 0.000 9.875" Properties=species:S:1:pos:R:3 pbc="T T T"
Na 0.000 0.000 0.000
Na 0.000 0.000 4.937
Tm 0.000 3.294 2.469
Tm 2.852 1.647 7.406
Mo 0.000 3.294 7.406
Mo 2.852 1.647 2.469
F -0.947 1.714 1.322
F -1.841 3.263 3.616
F 0.947 1.714 3.616
F -0.894 4.903 1.322
F 1.958 0.037 6.259
F 1.011 1.677 8.553
F 1.841 3.263 1.322
F 0.894 4.903 3.616
F 3.746 0.037 8.553
F 1.905 3.226 6.259
F 4.693 1.677 6.259
F 3.799 3.226 8.553
```



NaVMoF2 | GGA+U | relaxed

The calculation puts the theoretical density at 3.041 Mg/m³. The space group is P4/mmm (123). For the total energy, the calculation gives -4.265 eV/atom.

Cell and atoms, written as extended XYZ:
```
5
Lattice="4.090 0.000 0.000 0.000 4.090 0.000 0.000 0.000 6.785" Properties=species:S:1:pos:R:3 pbc="T T T"
Na 0.000 0.000 0.000
V 0.000 0.000 3.392
Mo 2.045 2.045 0.000
F 0.000 2.045 3.392
F 2.045 0.000 3.392
```



Na2ZnMoF6 | GGA+U | relaxed

The calculation puts the theoretical density at 3.896 Mg/m³. The space group is P1 (1). For the total energy, the calculation gives -4.527 eV/atom.

Cell and atoms, written as extended XYZ:
```
10
Lattice="5.694 0.000 0.000 2.817 4.963 0.000 2.789 1.602 4.846" Properties=species:S:1:pos:R:3 pbc="T T T"
Na 0.000 0.000 0.000
Na 5.602 3.305 2.410
Zn 8.456 4.929 4.126
Mo 2.808 1.645 1.725
F 4.497 5.186 3.085
F 4.038 3.133 0.556
F 4.566 1.379 3.083
F 6.327 4.825 0.610
F 7.817 3.298 3.052
F 6.623 1.991 0.590
```



NaZrMoF2 | GGA+U | relaxed

The calculation puts the theoretical density at 3.580 Mg/m³. The space group is P4/mmm (123). For the total energy, the calculation gives -5.132 eV/atom.

Cell and atoms, written as extended XYZ:
```
5
Lattice="4.307 0.000 0.000 0.000 4.307 0.000 0.000 0.000 6.205" Properties=species:S:1:pos:R:3 pbc="T T T"
Na 0.000 0.000 0.000
Zr 2.153 2.153 3.102
Mo 2.153 2.153 0.000
F 0.000 2.153 3.102
F 2.153 0.000 3.102
```



Nb2MoF | GGA+U | relaxed

The calculation puts the theoretical density at 7.588 Mg/m³. The space group is I-42d (122). For the total energy, the calculation gives -7.029 eV/atom.

Cell and atoms, written as extended XYZ:
```
8
Lattice="-3.325 3.325 2.977 3.325 -3.325 2.977 3.325 3.325 -2.977" Properties=species:S:1:pos:R:3 pbc="T T T"
Nb 4.987 1.270 -0.744
Nb 1.270 1.662 0.744
Nb -1.662 2.055 2.233
Nb 2.055 1.662 3.721
Mo 3.325 0.000 1.488
Mo 0.000 0.000 2.977
F 0.000 0.000 0.000
F 0.000 3.325 1.488
```



NbMoF3 | GGA+U | relaxed

The calculation puts the theoretical density at 4.847 Mg/m³. The space group is Pm-3m (221). For the total energy, the calculation gives -5.793 eV/atom.

Cell and atoms, written as extended XYZ:
```
5
Lattice="4.383 0.000 0.000 0.000 4.383 0.000 0.000 0.000 4.383" Properties=species:S:1:pos:R:3 pbc="T T T"
Nb 0.000 0.000 0.000
Mo 2.192 2.192 2.192
F 0.000 0.000 2.192
F 0.000 2.192 0.000
F 2.192 0.000 0.000
```



Nb2MoF | GGA+U | relaxed

The calculation puts the theoretical density at 7.697 Mg/m³. The space group is Fm-3m (225). For the total energy, the calculation gives -6.851 eV/atom.

Cell and atoms, written as extended XYZ:
```
4
Lattice="0.000 3.189 3.189 3.189 0.000 3.189 3.189 3.189 0.000" Properties=species:S:1:pos:R:3 pbc="T T T"
Nb 1.595 1.595 1.595
Nb 4.784 4.784 4.784
Mo 0.000 0.000 0.000
F 3.189 3.189 3.189
```



NbMoF3 | GGA+U | relaxed

The calculation puts the theoretical density at 4.775 Mg/m³. The space group is Pm-3m (221). For the total energy, the calculation gives -5.301 eV/atom.

Cell and atoms, written as extended XYZ:
```
5
Lattice="4.405 0.000 0.000 0.000 4.405 0.000 0.000 0.000 4.405" Properties=species:S:1:pos:R:3 pbc="T T T"
Nb 0.000 0.000 0.000
Mo 2.203 2.203 2.203
F 0.000 2.203 2.203
F 2.203 0.000 2.203
F 2.203 2.203 0.000
```



NbMoOF2 | GGA+U | relaxed

The calculation puts the theoretical density at 5.177 Mg/m³. The space group is P4/mmm (123). For the total energy, the calculation gives -6.529 eV/atom.

Cell and atoms, written as extended XYZ:
```
5
Lattice="4.408 0.000 0.000 0.000 4.408 0.000 0.000 0.000 4.009" Properties=species:S:1:pos:R:3 pbc="T T T"
Nb 0.000 0.000 0.000
Mo 2.204 2.204 2.005
O 0.000 0.000 2.005
F 0.000 2.204 0.000
F 2.204 0.000 0.000
```



NbMoO2F | GGA+U | relaxed

The calculation puts the theoretical density at 5.582 Mg/m³. The space group is P4/mmm (123). For the total energy, the calculation gives -6.576 eV/atom.

Cell and atoms, written as extended XYZ:
```
5
Lattice="4.183 0.000 0.000 0.000 4.183 0.000 0.000 0.000 4.077" Properties=species:S:1:pos:R:3 pbc="T T T"
Nb 0.000 0.000 0.000
Mo 2.092 2.092 2.039
O 0.000 2.092 2.039
O 2.092 0.000 2.039
F 2.092 2.092 0.000
```



NbMoOF2 | GGA+U | relaxed

The calculation puts the theoretical density at 5.243 Mg/m³. The space group is P4/mmm (123). For the total energy, the calculation gives -5.955 eV/atom.

Cell and atoms, written as extended XYZ:
```
5
Lattice="4.250 0.000 0.000 0.000 4.250 0.000 0.000 0.000 4.258" Properties=species:S:1:pos:R:3 pbc="T T T"
Nb 0.000 0.000 0.000
Mo 2.125 2.125 2.129
O 2.125 2.125 0.000
F 0.000 2.125 2.129
F 2.125 0.000 2.129
```